# 1
MgZnFeTe: optimized geometry, PBE-GGA.

Properties
- Spin magnetization: 2.004 μB/f.u.
- Space group: F-43m
- Uncorrected energy: -0.243 Ry per atom
- E above lowest polymorph: 0.00 eV per formula unit

abc: 4.700 4.700 4.700
angles: 60.00 60.00 60.00
Atoms (fractional coordinates):
Mg 0.750 0.750 0.750
Fe 0.250 0.250 0.250
Te 0.500 0.500 0.500
Zn 0.000 0.000 0.000

=====

# 2
LuNbTc: optimized geometry, PBE-GGA.

Properties
- Spin magnetization: 0.002 μB/f.u.
- Space group: F-43m
- Uncorrected energy: -0.568 Ry per atom
- Energy of formation from the pure elements: 604 meV per atom

abc: 4.492 4.492 4.492
angles: 60.00 60.00 60.00
Atoms (fractional coordinates):
Lu 0.250 0.250 0.250
Nb 0.000 0.000 0.000
Tc 0.750 0.750 0.750